Record 1
The following is a DFT calculation (GGA-PBE) of a geometry-optimized SmTiTlS4 structure.

Cell lengths 6.7389, 6.6895, 8.8608 Å; angles 90.00, 107.84, 90.00 degrees
Fractional positions:
Ti 0.2307 0.7500 0.3246
Ti 0.7693 0.2500 0.6754
Sm 0.7812 0.7500 0.4492
Sm 0.2188 0.2500 0.5508
S 0.9987 0.0057 0.2907
S 0.5624 0.2500 0.8328
S 0.0013 0.9943 0.7093
S 0.4356 0.7500 0.5757
S 0.5644 0.2500 0.4243
S 0.0013 0.5057 0.7093
S 0.4376 0.7500 0.1672
S 0.9987 0.4943 0.2907
Tl 0.7209 0.7500 0.9345
Tl 0.2791 0.2500 0.0655

Computed properties:
As for the space group: P2_1/m. As for the uncorrected formation energy: -1.355 eV/atom. As for the final energy: -40.97 eV per formula unit.

Record 2
The following is a DFT calculation (GGA-PBE) of a geometry-optimized HoPuBiO6 structure.

Cell lengths 5.7740, 5.7740, 9.5961 Å; angles 90.00, 90.00, 120.00 degrees
Fractional positions:
O 0.6607 0.6365 0.1356
O 0.3635 0.3393 0.3644
O 0.3393 0.9758 0.6356
O 0.6365 0.9758 0.8644
O 0.6365 0.6607 0.6356
O 0.9758 0.3393 0.1356
O 0.3393 0.3635 0.8644
O 0.0242 0.6607 0.8644
O 0.6607 0.0242 0.3644
O 0.9758 0.6365 0.3644
O 0.3635 0.0242 0.1356
O 0.0242 0.3635 0.6356
Bi 0.0000 0.0000 0.5000
Bi 0.0000 0.0000 0.0000
Ho 0.3333 0.6667 0.2500
Ho 0.6667 0.3333 0.7500
Pu 0.3333 0.6667 0.7500
Pu 0.6667 0.3333 0.2500

Computed properties:
As for the space group: P-31c. As for the uncorrected formation energy: -2.426 eV/atom. As for the final energy: -74.37 eV per formula unit.

Record 3
The following is a DFT calculation (GGA-PBE) of a geometry-optimized PmSbPt structure.

Cell lengths 4.7579, 4.7579, 4.7579 Å; angles 60.00, 60.00, 60.00 degrees
Fractional positions:
Sb 0.0000 0.0000 0.0000
Pm 0.5000 0.5000 0.5000
Pt 0.2500 0.2500 0.2500

Computed properties:
Its distance to the lowest polymorph of the same formula is 0.000 eV/atom. As for the space group: F-43m. As for the uncorrected formation energy: -1.186 eV/atom. As for the final energy: -18.47 eV per formula unit.

Record 4
The following is a DFT calculation (GGA-PBE) of a geometry-optimized ScNiAu2 structure.

Cell lengths 8.4210, 8.4210, 8.4210 Å; angles 21.67, 21.67, 21.67 degrees
Fractional positions:
Au 0.0030 0.0030 0.0030
Au 0.2423 0.2423 0.2423
Sc 0.7577 0.7577 0.7577
Ni 0.4971 0.4971 0.4971

Computed properties:
The value obtained for the energy of formation is -12.87 kJ per mole of atoms. As for the space group: R3m. As for the final energy: -19.20 eV per formula unit.

Record 5
The following is a DFT calculation (GGA-PBE) of a geometry-optimized NiHg2MoRh structure.

Cell lengths 5.2864, 4.6092, 5.2864 Å; angles 90.00, 90.00, 90.00 degrees
Fractional positions:
Hg 0.0000 0.0000 0.5000
Hg 0.5000 0.0000 0.0000
Ni 0.5000 0.5000 0.5000
Mo 0.0000 0.0000 0.0000
Rh 0.0000 0.5000 0.0000

Computed properties:
The value obtained for the energy of formation is 144.53 kJ per mole of atoms. Its distance to the lowest polymorph of the same formula is 0.204 eV/atom. As for the space group: P4/mmm. As for the final energy: -17.08 eV per formula unit.

Record 6
The following is a DFT calculation (GGA-PBE) of a geometry-optimized CaHo2Tl structure.

Cell lengths 5.5458, 5.5458, 5.5429 Å; angles 59.98, 59.98, 60.00 degrees
Fractional positions:
Ho 0.0003 0.0003 0.9990
Ho 0.2500 0.2500 0.2499
Tl 0.7497 0.7497 0.7508
Ca 0.4999 0.4999 0.5003

Computed properties:
The value obtained for the energy of formation is 1.40 kJ per mole of atoms. Its distance to the lowest polymorph of the same formula is 0.146 eV/atom. As for the space group: F-43m. As for the final energy: -13.47 eV per formula unit.

Record 7
The following is a DFT calculation (GGA-PBE) of a geometry-optimized Mg2AlTc structure.

Cell lengths 2.7928, 4.4002, 5.5255 Å; angles 90.00, 90.00, 90.00 degrees
Fractional positions:
Mg 0.0000 0.0000 0.0120
Mg 0.0000 0.0000 0.4880
Tc 0.5000 0.5000 0.2500
Al 0.5000 0.5000 0.7500

Computed properties:
The value obtained for the energy of formation is 12.13 kJ per mole of atoms. As for the space group: Pmmm. As for the final energy: -16.79 eV per formula unit.

Record 8
The following is a DFT calculation (GGA-PBE) of a geometry-optimized LaPr4Pd4 structure.

Cell lengths 6.0916, 9.2195, 9.2195 Å; angles 90.00, 90.00, 90.00 degrees
Fractional positions:
Pr 0.5899 0.9112 0.6861
Pr 0.5899 0.0888 0.3139
Pr 0.9101 0.4112 0.1861
Pr 0.0899 0.1861 0.5888
Pr 0.4101 0.3139 0.9112
Pr 0.9101 0.5888 0.8139
Pr 0.0899 0.8139 0.4112
Pr 0.4101 0.6861 0.0888
Pd 0.0978 0.8780 0.7193
Pd 0.9022 0.7193 0.1220
Pd 0.9022 0.2807 0.8780
Pd 0.4022 0.3780 0.2193
Pd 0.4022 0.6220 0.7807
Pd 0.0978 0.1220 0.2807
Pd 0.5978 0.7807 0.3780
Pd 0.5978 0.2193 0.6220
La 0.0000 0.0000 0.0000
La 0.5000 0.5000 0.5000

Computed properties:
The value obtained for the energy of formation is -57.36 kJ per mole of atoms. As for the space group: P4_2/n. As for the final energy: -50.17 eV per formula unit.

Record 9
The following is a DFT calculation (GGA-PBE) of a geometry-optimized NaTa4Se8 structure.

Cell lengths 7.5325, 7.5325, 7.5325 Å; angles 60.00, 60.00, 60.00 degrees
Fractional positions:
Se 0.6089 0.1732 0.6089
Se 0.1732 0.6089 0.6089
Se 0.1176 0.1176 0.6471
Se 0.1176 0.1176 0.1176
Se 0.6471 0.1176 0.1176
Se 0.6089 0.6089 0.1732
Se 0.1176 0.6471 0.1176
Se 0.6089 0.6089 0.6089
Na 0.7500 0.7500 0.7500
Ta 0.9272 0.3576 0.3576
Ta 0.3576 0.9272 0.3576
Ta 0.3576 0.3576 0.9272
Ta 0.3576 0.3576 0.3576

Computed properties:
Its distance to the lowest polymorph of the same formula is 0.110 eV/atom. As for the space group: F-43m. As for the uncorrected formation energy: -0.725 eV/atom. As for the final energy: -86.03 eV per formula unit.

Record 10
The following is a DFT calculation (GGA-PBE) of a geometry-optimized AcTb6Pm4 structure.

Cell lengths 9.8306, 9.8306, 9.8306 Å; angles 57.86, 139.99, 139.99 degrees
Fractional positions:
Pm 0.6173 0.9868 0.9868
Pm 0.0000 0.6305 0.0132
Pm 0.3827 0.3695 0.3695
Pm 0.0000 0.0132 0.6305
Tb 0.3576 0.5533 0.5533
Tb 0.0000 0.4467 0.8043
Tb 0.5000 0.0000 0.5000
Tb 0.0000 0.8043 0.4467
Tb 0.6424 0.1957 0.1957
Tb 0.5000 0.5000 0.0000
Ac 0.0000 0.0000 0.0000

Computed properties:
The value obtained for the energy of formation is 32.05 kJ per mole of atoms. As for the space group: I-42m. As for the final energy: -47.24 eV per formula unit.

Record 11
The following is a DFT calculation (GGA-PBE) of a geometry-optimized MgCd2O structure.

Cell lengths 4.7313, 4.7313, 4.7313 Å; angles 60.00, 60.00, 60.00 degrees
Fractional positions:
Cd 0.2500 0.2500 0.2500
Cd 0.7500 0.7500 0.7500
O 0.0000 0.0000 0.0000
Mg 0.5000 0.5000 0.5000

Computed properties:
Its distance to the lowest polymorph of the same formula is 0.781 eV/atom. As for the space group: Fm-3m. As for the uncorrected formation energy: 0.159 eV/atom. As for the final energy: -7.75 eV per formula unit.

Record 12
The following is a DFT calculation (GGA-PBE) of a geometry-optimized Tb3Y2Os2 structure.

Cell lengths 3.9866, 6.2842, 8.3405 Å; angles 111.62, 90.00, 108.49 degrees
Fractional positions:
Os 0.8230 0.6461 0.7829
Os 0.1770 0.3539 0.2171
Tb 0.3756 0.7513 0.5690
Tb 0.6244 0.2487 0.4310
Tb 0.5000 0.0000 0.0000
Y 0.8344 0.6688 0.1851
Y 0.1656 0.3312 0.8149

Computed properties:
The value obtained for the energy of formation is -21.42 kJ per mole of atoms. As for the space group: C2/m. As for the final energy: -50.83 eV per formula unit.

Number 1: total magnetization 0.0 Bohr magnetons per cell. Number 2: total magnetization 4.0 Bohr magnetons per cell. Number 3: total magnetization 0.0 Bohr magnetons per cell. Number 4: total magnetization 0.0 Bohr magnetons per cell. Number 5: total magnetization 1.4 Bohr magnetons per cell. Number 6: total magnetization 0.0 Bohr magnetons per cell. Number 7: total magnetization 0.0 Bohr magnetons per cell. Number 8: total magnetization 0.0 Bohr magnetons per cell. Number 9: total magnetization 0.7 Bohr magnetons per cell. Number 10: total magnetization 0.0 Bohr magnetons per cell. Number 11: total magnetization 0.0 Bohr magnetons per cell. Number 12: total magnetization 0.0 Bohr magnetons per cell.